The following is a DFT calculation (PBE) of a geometry-optimized Al structure.

Output
The formation energy is 0.18 eV per atom. Its uncorrected energy is -3.558 eV/atom. The density of states at the Fermi level is 2.531 states/eV per cell. The space-group type is No. 227. Its relative energy among the computed polymorphs is 0.184 eV/atom.

Unit cell a=5.269 b=5.269 c=5.269 alpha=60.00 beta=60.00 gamma=60.00
Fractional coordinates of all 6 atoms:
1 Al 0.000 0.000 0.000
2 Al 0.000 0.000 0.500
3 Al 0.000 0.500 0.000
4 Al 0.375 0.375 0.375
5 Al 0.500 0.000 0.000
6 Al 0.625 0.625 0.625